(1)
Below is a geometry-optimized Pr8HgIr2 structure, with properties calculated at the PBE-GGA level.

Geometry as extended XYZ:
```
11
Lattice="4.403 -6.955 0.000 4.403 6.955 0.000 -1.569 0.000 5.610" Properties=species:S:1:pos:R:3 pbc="T T T"
Pr 0.945 1.750 3.175
Pr 4.403 3.580 0.000
Pr 0.945 -1.750 3.175
Pr 3.143 0.000 1.077
Pr 4.094 0.000 4.533
Pr 6.293 1.750 2.435
Pr 4.403 -3.580 0.000
Pr 6.293 -1.750 2.435
Hg 0.000 0.000 0.000
Ir 3.619 2.863 2.805
Ir 3.619 -2.863 2.805
```

Results
- DFT formation energy: -0.287 eV/atom

(2)
Below is a geometry-optimized Zr4ZnOs structure, with properties calculated at the PBE-GGA level.

Geometry as extended XYZ:
```
6
Lattice="0.000 3.934 3.934 3.934 0.000 3.934 3.934 3.934 0.000" Properties=species:S:1:pos:R:3 pbc="T T T"
Zr 0.970 0.970 0.970
Zr 2.965 2.965 0.970
Zr 2.965 0.970 2.965
Zr 0.970 2.965 2.965
Zn 3.934 3.934 3.934
Os 5.902 5.902 5.902
```

Results
- E above lowest polymorph: 77.6 kJ per mole of atoms
- DFT formation energy: 0.541 eV/atom

(3)
Below is a geometry-optimized La3DyO structure, with properties calculated at the PBE-GGA level.

Geometry as extended XYZ:
```
5
Lattice="5.177 0.000 0.000 0.000 5.177 0.000 0.000 0.000 5.177" Properties=species:S:1:pos:R:3 pbc="T T T"
La 0.000 0.000 2.588
La 0.000 2.588 0.000
La 2.588 0.000 0.000
Dy 2.588 2.588 2.588
O 0.000 0.000 0.000
```

Results
- Formation energy without anion corrections: -26.40 kcal/mol of atoms

(4)
Below is a geometry-optimized CaScSb2 structure, with properties calculated at the PBE-GGA level.

Geometry as extended XYZ:
```
4
Lattice="3.594 0.000 0.000 0.000 3.594 0.000 0.000 0.000 8.093" Properties=species:S:1:pos:R:3 pbc="T T T"
Ca 0.000 0.000 0.000
Sc 0.000 0.000 4.046
Sb 1.797 1.797 2.203
Sb 1.797 1.797 5.890
```

Results
- E above lowest polymorph: 12.4 kJ per mole of atoms
- Formation energy without anion corrections: -16.50 kcal/mol of atoms

(5)
Below is a geometry-optimized HgHPd structure, with properties calculated at the PBE-GGA level.

Geometry as extended XYZ:
```
3
Lattice="-1.928 1.928 3.300 1.928 -1.928 3.300 1.928 1.928 -3.300" Properties=species:S:1:pos:R:3 pbc="T T T"
Hg 0.000 0.000 0.000
H 0.000 0.000 2.091
Pd 0.000 0.000 3.676
```

Results
- E above lowest polymorph: 30.2 kJ per mole of atoms

(6)
Below is a geometry-optimized HfNp2UN4 structure, with properties calculated at the PBE-GGA level.

Geometry as extended XYZ:
```
8
Lattice="5.865 0.000 0.000 0.000 3.349 0.000 -1.889 0.000 5.561" Properties=species:S:1:pos:R:3 pbc="T T T"
Hf 0.000 0.000 0.000
Np -0.945 1.674 2.781
Np 1.988 0.000 2.781
U 2.932 1.674 0.000
N 0.934 1.674 1.268
N -0.033 0.000 4.260
N 4.009 0.000 1.301
N 3.042 1.674 4.293
```

Results
- Formation energy without anion corrections: -31.39 kcal/mol of atoms

(7)
Below is a geometry-optimized AcPmDyY2 structure, with properties calculated at the PBE-GGA level.

Geometry as extended XYZ:
```
10
Lattice="3.279 -8.754 0.000 3.279 8.754 0.000 0.000 0.000 6.470" Properties=species:S:1:pos:R:3 pbc="T T T"
Ac 3.279 5.961 4.852
Ac 3.279 -5.961 1.617
Pm 3.279 2.686 4.852
Pm 3.279 -2.686 1.617
Dy 3.279 4.038 1.617
Dy 3.279 -4.038 4.852
Y 1.671 0.000 0.000
Y 1.671 0.000 3.235
Y 4.886 0.000 0.000
Y 4.886 0.000 3.235
```

Results
- DFT formation energy: 0.389 eV/atom

(8)
Below is a geometry-optimized MnB2I2 structure, with properties calculated at the PBE-GGA level.

Geometry as extended XYZ:
```
5
Lattice="-1.555 1.555 8.513 1.555 -1.555 8.513 1.555 1.555 -8.513" Properties=species:S:1:pos:R:3 pbc="T T T"
Mn 0.000 0.000 0.000
B 1.555 0.000 4.257
B 0.000 1.555 4.257
I 0.000 0.000 6.823
I 0.000 0.000 10.204
```

Results
- E above lowest polymorph: 0.0 kJ per mole of atoms
- Formation energy without anion corrections: 37.90 kcal/mol of atoms

(9)
Below is a geometry-optimized RbLiTe2N structure, with properties calculated at the PBE-GGA level.

Geometry as extended XYZ:
```
5
Lattice="6.267 0.000 0.000 0.000 6.267 0.000 0.000 0.000 3.644" Properties=species:S:1:pos:R:3 pbc="T T T"
Rb 0.000 0.000 0.000
Li 3.134 3.134 1.822
Te 0.000 3.134 1.822
Te 3.134 0.000 1.822
N 3.134 3.134 0.000
```

Results
- E above lowest polymorph: 0.0 kJ per mole of atoms
- Formation energy without anion corrections: 11.21 kcal/mol of atoms

no.,magnetization (μB per formula unit)
1,0.00
2,0.00
3,0.00
4,0.00
5,0.00
6,7.16
7,0.00
8,0.00
9,1.77